Entry 1:
# Ce2AlGa2Ni5

Ce2AlGa2Ni5 after structural relaxation (PBE-GGA, the Alexandria database).

The density of states at the Fermi level comes out at 1.4396 states/eV/atom. The uncorrected energy comes out at -108.04 eV per cell. As for the volume: 15.484 A^3/atom. For the formation energy, the calculation gives -345 meV/atom. As for the total magnetization: 1.62 μB per formula unit.

Cell and atoms, written as CIF:
```
data_Ce2AlGa2Ni5
_chemical_formula_sum 'Ce4 Al2 Ga4 Ni10'
_cell_length_a 10.302
_cell_length_b 10.302
_cell_length_c 2.918
_cell_angle_alpha 90.00
_cell_angle_beta 90.00
_cell_angle_gamma 90.00
_symmetry_space_group_name_H-M 'P 4/m b m'
_symmetry_Int_Tables_number 127
_symmetry_space_group_name_Hall '-P 4 2ab'
loop_
_atom_site_label
_atom_site_type_symbol
_atom_site_fract_x
_atom_site_fract_y
_atom_site_fract_z
_atom_site_occupancy
Ce1 Ce 0.173 0.327 0.000 1
Al1 Al 0.000 0.000 0.000 1
Ga1 Ga 0.130 0.630 0.000 1
Ni1 Ni 0.000 0.500 0.500 1
Ni2 Ni 0.055 0.811 0.500 1
```

=====

Entry 2:
# Y3Er12Al

Y3Er12Al after structural relaxation (PBE-GGA, the Alexandria database).

The density of states at the Fermi level comes out at 1.2419 states/eV/atom. The uncorrected energy comes out at -78.14 eV per cell. As for the volume: 29.816 A^3/atom. For the formation energy, the calculation gives -16 meV/atom. As for the total magnetization: 0.00 μB per formula unit.

Cell and atoms, written as CIF:
```
data_Y3Er12Al
_chemical_formula_sum 'Y3 Er12 Al1'
_cell_length_a 4.899
_cell_length_b 4.899
_cell_length_c 19.876
_cell_angle_alpha 90.00
_cell_angle_beta 90.00
_cell_angle_gamma 90.00
_symmetry_space_group_name_H-M 'P 4/m m m'
_symmetry_Int_Tables_number 123
_symmetry_space_group_name_Hall '-P 4 2'
loop_
_atom_site_label
_atom_site_type_symbol
_atom_site_fract_x
_atom_site_fract_y
_atom_site_fract_z
_atom_site_occupancy
Y1 Y 0.000 0.000 0.000 1
Y2 Y 0.000 0.000 0.254 1
Er1 Er 0.000 0.500 0.128 1
Er2 Er 0.000 0.500 0.383 1
Er3 Er 0.500 0.500 0.000 1
Er4 Er 0.500 0.500 0.258 1
Er5 Er 0.500 0.500 0.500 1
Al1 Al 0.000 0.000 0.500 1
```

=====

Entry 3:
# Bi2Pd13

Bi2Pd13 after structural relaxation (PBE-GGA, the Alexandria database).

The density of states at the Fermi level comes out at 1.4032 states/eV/atom. The uncorrected energy comes out at -217.49 eV per cell. As for the volume: 21.086 A^3/atom. For the formation energy, the calculation gives 185 meV/atom. As for the total magnetization: 0.00 μB per formula unit.

Cell and atoms, written as CIF:
```
data_Bi2Pd13
_chemical_formula_sum 'Bi6 Pd39'
_cell_length_a 7.3514
_cell_length_b 7.3514
_cell_length_c 20.2740
_cell_angle_alpha 90.00
_cell_angle_beta 90.00
_cell_angle_gamma 120.00
_symmetry_space_group_name_H-M 'R -3 m'
_symmetry_Int_Tables_number 166
_symmetry_space_group_name_Hall '-R 3 2"'
loop_
_atom_site_label
_atom_site_type_symbol
_atom_site_fract_x
_atom_site_fract_y
_atom_site_fract_z
_atom_site_occupancy
Bi1 Bi 0.0000 0.0000 0.2298 1
Pd1 Pd 0.0000 0.0000 0.0000 1
Pd2 Pd 0.0819 0.5409 0.5615 1
Pd3 Pd 0.0882 0.5441 0.3110 1
```